[1]
Computed, not measured: an optimized crystal structure of NaMg2CdH at the PBE-GGA level of DFT.

Summary:
final energy: -8.778 eV per formula unit

POSCAR file:
```
NaMg2CdH
1.0
-3.511 1.114 -2.460
1.946 -1.753 -3.572
-2.012 -4.204 0.968
Na Mg H Cd
1 2 1 1
Cartesian
-1.006 -2.102 0.484 Na
-1.755 0.557 -1.230 Mg
0.973 -0.877 -1.786 Mg
0.000 0.000 0.000 H
-1.789 -2.422 -2.532 Cd
```

[2]
Computed, not measured: an optimized crystal structure of Mg2CdNiH at the PBE-GGA level of DFT.

Summary:
final energy: -13.798 eV per formula unit

POSCAR file:
```
Mg2CdNiH
1.0
-1.036 1.230 4.248
-1.296 -4.256 0.916
3.232 -0.767 1.010
Ni Cd Mg H
1 1 2 1
Cartesian
1.616 -0.383 0.505 Ni
0.450 -1.896 3.087 Cd
-0.518 0.615 2.124 Mg
-0.648 -2.128 0.458 Mg
0.000 0.000 0.000 H
```

[3]
Computed, not measured: an optimized crystal structure of MgCdNi2H at the PBE-GGA level of DFT.

Summary:
final energy: -17.749 eV per formula unit

POSCAR file:
```
MgCdNi2H
1.0
-0.527 1.347 -3.580
3.296 -1.673 -1.115
-2.022 -3.344 -0.960
Mg H Cd Ni
1 1 1 2
Cartesian
-1.011 -1.672 -0.480 Mg
0.000 0.000 0.000 H
0.374 -1.835 -2.828 Cd
1.648 -0.837 -0.557 Ni
-0.263 0.673 -1.790 Ni
```

[4]
Computed, not measured: an optimized crystal structure of MgCdNiH6 at the PBE-GGA level of DFT.

Summary:
final energy: -27.917 eV per formula unit

POSCAR file:
```
MgCdNiH6
1.0
-3.152 -0.557 -3.178
-1.670 -4.108 -0.825
-4.749 1.020 4.531
H Mg Ni Cd
6 1 1 1
Cartesian
-3.658 -2.292 0.139 H
-4.356 -1.876 2.138 H
-4.176 0.119 1.878 H
-2.479 -0.943 1.071 H
-3.742 -0.344 -0.388 H
-5.479 -0.933 0.749 H
-5.589 -2.600 -0.403 Mg
-3.981 -1.045 0.931 Ni
-9.569 -3.645 0.528 Cd
```

[5]
Computed, not measured: an optimized crystal structure of MgCdH2O at the PBE-GGA level of DFT.

Summary:
final energy: -15.297 eV per formula unit

POSCAR file:
```
MgCdH2O
1.0
-1.182 1.960 -2.408
4.302 -3.317 -4.813
-2.400 -2.211 -0.621
O Mg H Cd
1 1 2 1
Cartesian
0.360 -1.784 -3.921 O
2.151 -1.659 -2.406 Mg
-1.200 -1.106 -0.311 H
-0.591 0.980 -1.204 H
0.000 0.000 0.000 Cd
```

[6]
Computed, not measured: an optimized crystal structure of Mg4CdHPb at the PBE-GGA level of DFT.

Summary:
final energy: -14.358 eV per formula unit

POSCAR file:
```
Mg4CdHPb
1.0
6.197 0.000 0.000
0.000 6.206 0.000
-3.098 0.000 7.615
H Mg Cd Pb
2 8 2 2
Cartesian
0.000 4.655 3.622 H
3.098 1.552 3.993 H
-1.549 0.000 3.807 Mg
1.549 0.000 3.807 Mg
3.098 1.552 6.218 Mg
0.000 4.655 1.397 Mg
-1.549 3.103 3.807 Mg
1.549 3.103 3.807 Mg
3.098 1.552 1.174 Mg
0.000 4.655 6.440 Mg
0.000 1.552 5.903 Cd
3.098 4.655 1.711 Cd
0.000 1.552 1.608 Pb
3.098 4.655 6.007 Pb
```

[7]
Computed, not measured: an optimized crystal structure of MgCdHPd2 at the PBE-GGA level of DFT.

Summary:
final energy: -17.780 eV per formula unit

POSCAR file:
```
MgCdHPd2
1.0
-3.385 1.869 -1.415
-1.575 0.027 3.804
1.753 3.705 0.700
Mg Pd H Cd
1 2 1 1
Cartesian
-1.604 2.800 1.545 Mg
-1.693 0.934 -0.707 Pd
-0.788 0.013 1.902 Pd
0.000 0.000 0.000 H
0.876 1.852 0.350 Cd
```

[8]
Computed, not measured: an optimized crystal structure of MgCdHPd2 at the PBE-GGA level of DFT.

Summary:
final energy: -18.195 eV per formula unit

POSCAR file:
```
MgCdHPd2
1.0
4.107 0.000 0.000
0.000 4.107 0.000
0.000 0.000 4.116
Mg Cd Pd H
1 1 2 1
Cartesian
0.000 0.000 2.058 Mg
2.054 2.054 2.058 Cd
2.054 0.000 0.000 Pd
0.000 2.054 0.000 Pd
0.000 0.000 0.000 H
```

[9]
Computed, not measured: an optimized crystal structure of Mg2CdHRh at the PBE-GGA level of DFT.

Summary:
final energy: -15.499 eV per formula unit

POSCAR file:
```
Mg2CdHRh
1.0
-3.127 -2.249 -1.634
2.778 -2.622 -1.706
-0.106 -2.353 3.444
Cd H Mg Rh
1 1 2 1
Cartesian
-0.053 -1.177 1.722 Cd
0.000 0.000 0.000 H
-1.563 -1.125 -0.817 Mg
1.389 -1.311 -0.853 Mg
-0.228 -3.612 0.052 Rh
```

[10]
Computed, not measured: an optimized crystal structure of MgCdHRh2 at the PBE-GGA level of DFT.

Summary:
final energy: -21.369 eV per formula unit

POSCAR file:
```
MgCdHRh2
1.0
-3.315 -1.074 2.112
-2.010 -0.649 -3.485
1.248 -3.856 -0.002
Mg Cd H Rh
1 1 1 2
Cartesian
-2.039 -2.789 -0.687 Mg
0.624 -1.928 -0.001 Cd
0.000 0.000 0.000 H
-1.005 -0.324 -1.742 Rh
-1.658 -0.537 1.056 Rh
```

[11]
Computed, not measured: an optimized crystal structure of Mg2CdHRh at the PBE-GGA level of DFT.

Summary:
final energy: -16.330 eV per formula unit

POSCAR file:
```
Mg2CdHRh
1.0
4.568 0.000 0.000
0.000 4.568 0.000
0.000 0.000 3.532
Mg H Cd Rh
2 1 1 1
Cartesian
0.000 2.284 0.000 Mg
2.284 0.000 0.000 Mg
0.000 0.000 0.000 H
2.284 2.284 1.766 Cd
0.000 0.000 1.766 Rh
```

[12]
Computed, not measured: an optimized crystal structure of MgCdHRh2 at the PBE-GGA level of DFT.

Summary:
final energy: -21.820 eV per formula unit

POSCAR file:
```
MgCdHRh2
1.0
4.061 0.000 0.000
0.000 4.061 0.000
0.000 0.000 4.025
Cd H Rh Mg
1 1 2 1
Cartesian
2.031 2.031 2.013 Cd
0.000 0.000 0.000 H
2.031 0.000 0.000 Rh
0.000 2.031 0.000 Rh
0.000 0.000 2.013 Mg
```